The following is a DFT calculation (PBE-GGA) of crystalline Li2ZnInAu4 at its relaxed geometry.

## Properties
* raw total energy: -0.2226 Ry/atom
* crystal system: trigonal
* calculated volume: 16.96 Å³/atom
* Fermi-level density of states: 0.262 states/eV/atom

```
Li2ZnInAu4
1.0
4.487 0.000 0.000
2.243 3.886 0.000
2.243 1.295 7.782
In Au Li Zn
1 4 2 1
Direct
0.000 0.000 0.000
0.871 0.871 0.387
0.386 0.386 0.843
0.129 0.129 0.613
0.614 0.614 0.157
0.249 0.249 0.254
0.751 0.751 0.746
0.500 0.500 0.500
```